ZnAg7 | GGA-PBEsol | optimized geometry

Structure (POSCAR):
```
ZnAg7
1.0
0.0000 4.0179 4.0179
4.0179 0.0000 4.0179
4.0179 4.0179 0.0000
Zn Ag
1 7
direct
0.0000 0.0000 0.0000
0.0000 0.0000 0.5000
0.0000 0.5000 0.0000
0.0000 0.5000 0.5000
0.5000 0.0000 0.0000
0.5000 0.0000 0.5000
0.5000 0.5000 0.0000
0.5000 0.5000 0.5000
```

For the formation energy, the calculation gives -0.01 eV per atom. For the mass density, the calculation gives 10.50 Mg/m³.



Zn3Ag4 | GGA-PBEsol | optimized geometry

Structure (POSCAR):
```
Zn3Ag4
1.0
3.0785 0.0000 0.0000
0.0000 3.0785 0.0000
0.0000 0.0000 22.6005
Zn Ag
6 8
direct
0.0000 0.0000 0.0000
0.0000 0.0000 0.2823
0.0000 0.0000 0.7177
0.5000 0.5000 0.2177
0.5000 0.5000 0.5000
0.5000 0.5000 0.7823
0.0000 0.0000 0.1493
0.0000 0.0000 0.4317
0.0000 0.0000 0.5683
0.0000 0.0000 0.8507
0.5000 0.5000 0.0683
0.5000 0.5000 0.3507
0.5000 0.5000 0.6493
0.5000 0.5000 0.9317
```

For the formation energy, the calculation gives -0.04 eV per atom. For the mass density, the calculation gives 9.73 Mg/m³. The calculation puts the energy above the most stable polymorph in this dataset at 0 meV/atom.



Zn4Ag5 | GGA-PBEsol | optimized geometry

Structure (POSCAR):
```
Zn4Ag5
1.0
7.6845 0.0000 0.0000
-3.8422 6.6550 0.0000
0.0000 0.0000 5.4201
Zn Ag
8 10
direct
0.0000 0.0000 0.0000
0.0000 0.0000 0.5000
0.0000 0.3654 0.2500
0.0000 0.6346 0.7500
0.3654 0.0000 0.2500
0.3654 0.3654 0.7500
0.6346 0.0000 0.7500
0.6346 0.6346 0.2500
0.0000 0.3000 0.7500
0.0000 0.7000 0.2500
0.3000 0.0000 0.7500
0.3000 0.3000 0.2500
0.3333 0.6667 0.0000
0.3333 0.6667 0.5000
0.6667 0.3333 0.0000
0.6667 0.3333 0.5000
0.7000 0.0000 0.2500
0.7000 0.7000 0.7500
```

For the formation energy, the calculation gives -0.04 eV per atom. For the mass density, the calculation gives 9.60 Mg/m³. The calculation puts the energy above the most stable polymorph in this dataset at 0 meV/atom.



ZnAg2 | GGA-PBEsol | optimized geometry

Structure (POSCAR):
```
ZnAg2
1.0
4.4370 0.0000 0.0000
-2.2185 3.8426 0.0000
0.0000 0.0000 5.5164
Zn Ag
2 4
direct
0.3333 0.6667 0.2500
0.6667 0.3333 0.7500
0.0000 0.0000 0.0000
0.0000 0.0000 0.5000
0.3333 0.6667 0.7500
0.6667 0.3333 0.2500
```

For the formation energy, the calculation gives -0.03 eV per atom. For the mass density, the calculation gives 9.93 Mg/m³. The calculation puts the energy above the most stable polymorph in this dataset at 41 meV/atom.



Zn5Ag4 | GGA-PBEsol | optimized geometry

Structure (POSCAR):
```
Zn5Ag4
1.0
-4.5388 4.5388 1.6468
4.5388 -4.5388 1.6468
4.5388 4.5388 -1.6468
Zn Ag
5 4
direct
0.0000 0.0000 0.0000
0.3334 0.3334 0.6667
0.3334 0.6666 0.0000
0.6666 0.3334 0.0000
0.6666 0.6666 0.3333
0.0000 0.3217 0.3217
0.0000 0.6783 0.6783
0.3217 0.0000 0.3217
0.6783 0.0000 0.6783
```

For the formation energy, the calculation gives -0.03 eV per atom. For the mass density, the calculation gives 9.28 Mg/m³. The calculation puts the energy above the most stable polymorph in this dataset at 0 meV/atom.



Zn3Ag2 | GGA-PBEsol | optimized geometry

Structure (POSCAR):
```
Zn3Ag2
1.0
9.3651 0.0000 0.0000
0.0000 2.9941 0.0000
-4.2721 0.0000 5.3011
Zn Ag
6 4
direct
0.0000 0.0000 0.0000
0.1019 0.5000 0.3899
0.3981 0.0000 0.6101
0.5000 0.5000 0.0000
0.6019 0.0000 0.3899
0.8981 0.5000 0.6101
0.1937 0.0000 0.7842
0.3063 0.5000 0.2158
0.6937 0.5000 0.7842
0.8063 0.0000 0.2158
```

For the formation energy, the calculation gives -0.05 eV per atom. For the mass density, the calculation gives 9.20 Mg/m³. The calculation puts the energy above the most stable polymorph in this dataset at 3 meV/atom.



ZnAg3 | GGA-PBEsol | optimized geometry

Structure (POSCAR):
```
ZnAg3
1.0
3.9711 0.0000 0.0000
0.0000 3.9711 0.0000
0.0000 0.0000 16.0837
Zn Ag
4 12
direct
0.0000 0.0000 0.1269
0.0000 0.0000 0.8731
0.5000 0.5000 0.3731
0.5000 0.5000 0.6269
0.0000 0.0000 0.3763
0.0000 0.0000 0.6237
0.0000 0.5000 0.0000
0.0000 0.5000 0.2500
0.0000 0.5000 0.5000
0.0000 0.5000 0.7500
0.5000 0.0000 0.0000
0.5000 0.0000 0.2500
0.5000 0.0000 0.5000
0.5000 0.0000 0.7500
0.5000 0.5000 0.1237
0.5000 0.5000 0.8763
```

For the formation energy, the calculation gives -0.04 eV per atom. For the mass density, the calculation gives 10.19 Mg/m³.



ZnAg3 | GGA-PBEsol | optimized geometry

Structure (POSCAR):
```
ZnAg3
1.0
6.3340 0.0000 0.0000
0.0000 6.3340 0.0000
0.0000 0.0000 6.3340
Zn Ag
4 12
direct
0.0000 0.0000 0.0000
0.0000 0.5000 0.5000
0.5000 0.0000 0.5000
0.5000 0.5000 0.0000
0.0000 0.0000 0.5000
0.0000 0.5000 0.0000
0.2500 0.2500 0.2500
0.2500 0.2500 0.7500
0.2500 0.7500 0.2500
0.2500 0.7500 0.7500
0.5000 0.0000 0.0000
0.5000 0.5000 0.5000
0.7500 0.2500 0.2500
0.7500 0.2500 0.7500
0.7500 0.7500 0.2500
0.7500 0.7500 0.7500
```

For the formation energy, the calculation gives -0.01 eV per atom. For the mass density, the calculation gives 10.17 Mg/m³.



- Among the records above, which one has the lowest mass density?
  Zn3Ag2